Entry 1:
# CsErAgF6 | Alexandria via LeMat-Bulk | GGA-PBE | optimized geometry
data_CsErAgF6
_symmetry_space_group_name_H-M 'I m m a'
_symmetry_Int_Tables_number 74
_symmetry_space_group_name_Hall '-I 2b 2'
_cell_length_a 7.810
_cell_length_b 8.300
_cell_length_c 11.798
_cell_angle_alpha 90.00
_cell_angle_beta 90.00
_cell_angle_gamma 90.00
loop_
_atom_site_label
_atom_site_type_symbol
_atom_site_fract_x
_atom_site_fract_y
_atom_site_fract_z
Cs1 Cs 0.000 0.250 0.083
Er1 Er 0.000 0.000 0.500
Ag1 Ag 0.250 0.250 0.750
F1 F 0.000 0.250 0.444
F2 F 0.000 0.250 0.807
F3 F 0.206 0.046 0.617
# Fermi-level density of states in states/eV per cell: 19.176
# Formation energy from raw total energies in kJ/mol of atoms: -273.29
# Total magnetic moment in μB per formula unit: 0.00
# Crystal system: orthorhombic

***

Entry 2:
# CeEr2Mg | Alexandria via LeMat-Bulk | GGA-PBE | optimized geometry
data_CeEr2Mg
_symmetry_space_group_name_H-M 'P 4/m m m'
_symmetry_Int_Tables_number 123
_symmetry_space_group_name_Hall '-P 4 2'
_cell_length_a 3.490
_cell_length_b 3.490
_cell_length_c 9.265
_cell_angle_alpha 90.00
_cell_angle_beta 90.00
_cell_angle_gamma 90.00
loop_
_atom_site_label
_atom_site_type_symbol
_atom_site_fract_x
_atom_site_fract_y
_atom_site_fract_z
Ce1 Ce 0.000 0.000 0.000
Er1 Er 0.500 0.500 0.257
Mg1 Mg 0.000 0.000 0.500
# Fermi-level density of states in states/eV per cell: 6.556
# Calculated formation energy in kcal/mol of atoms: 0.2
# Polymorph energy (0 for the lowest one) in meV/atom: 0
# Total magnetic moment in μB per formula unit: 0.18
# Crystal system: tetragonal

***

Entry 3:
# Pr2DyMg8 | Alexandria via LeMat-Bulk | GGA-PBE | optimized geometry
data_Pr2DyMg8
_symmetry_space_group_name_H-M 'I m m m'
_symmetry_Int_Tables_number 71
_symmetry_space_group_name_Hall '-I 2 2'
_cell_length_a 5.274
_cell_length_b 7.472
_cell_length_c 15.215
_cell_angle_alpha 90.00
_cell_angle_beta 90.00
_cell_angle_gamma 90.00
loop_
_atom_site_label
_atom_site_type_symbol
_atom_site_fract_x
_atom_site_fract_y
_atom_site_fract_z
Pr1 Pr 0.000 0.000 0.200
Dy1 Dy 0.000 0.000 0.500
Mg1 Mg 0.000 0.217 0.000
Mg2 Mg 0.000 0.292 0.361
Mg3 Mg 0.000 0.500 0.157
# Fermi-level density of states in states/eV per cell: 16.563
# Calculated formation energy in kcal/mol of atoms: 0.6
# Total magnetic moment in μB per formula unit: 0.00
# Crystal system: orthorhombic

***

Entry 4:
# NaAg2Te2 | Alexandria via LeMat-Bulk | GGA-PBE | optimized geometry
data_NaAg2Te2
_symmetry_space_group_name_H-M 'C 1 2/m 1'
_symmetry_Int_Tables_number 12
_symmetry_space_group_name_Hall '-C 2y'
_cell_length_a 8.979
_cell_length_b 3.628
_cell_length_c 8.936
_cell_angle_alpha 90.00
_cell_angle_beta 116.40
_cell_angle_gamma 90.00
loop_
_atom_site_label
_atom_site_type_symbol
_atom_site_fract_x
_atom_site_fract_y
_atom_site_fract_z
Na1 Na 0.000 0.000 0.000
Ag1 Ag 0.104 0.500 0.416
Te1 Te 0.190 0.000 0.745
# Fermi-level density of states in states/eV per cell: 1.245
# Formation energy from raw total energies in kJ/mol of atoms: -25.46
# Polymorph energy (0 for the lowest one) in meV/atom: 22
# Total magnetic moment in μB per formula unit: 0.00
# Crystal system: monoclinic

***

Entry 5:
# YNi2HgBi | Alexandria via LeMat-Bulk | GGA-PBE | optimized geometry
data_YNi2HgBi
_symmetry_space_group_name_H-M 'P 4/m m m'
_symmetry_Int_Tables_number 123
_symmetry_space_group_name_Hall '-P 4 2'
_cell_length_a 4.828
_cell_length_b 4.828
_cell_length_c 5.893
_cell_angle_alpha 90.00
_cell_angle_beta 90.00
_cell_angle_gamma 90.00
loop_
_atom_site_label
_atom_site_type_symbol
_atom_site_fract_x
_atom_site_fract_y
_atom_site_fract_z
Y1 Y 0.000 0.000 0.000
Ni1 Ni 0.000 0.500 0.500
Hg1 Hg 0.500 0.500 0.000
Bi1 Bi 0.000 0.000 0.500
# Fermi-level density of states in states/eV per cell: 6.166
# Calculated formation energy in kcal/mol of atoms: 13.4
# Total magnetic moment in μB per formula unit: 0.00
# Crystal system: tetragonal

***

Entry 6:
# YPtPb | Alexandria via LeMat-Bulk | GGA-PBE | optimized geometry
data_YPtPb
_symmetry_space_group_name_H-M 'P m m a'
_symmetry_Int_Tables_number 51
_symmetry_space_group_name_Hall '-P 2a 2a'
_cell_length_a 14.156
_cell_length_b 3.820
_cell_length_c 7.857
_cell_angle_alpha 90.00
_cell_angle_beta 90.00
_cell_angle_gamma 90.00
loop_
_atom_site_label
_atom_site_type_symbol
_atom_site_fract_x
_atom_site_fract_y
_atom_site_fract_z
Y1 Y 0.054 0.000 0.210
Y2 Y 0.250 0.000 0.818
Pt1 Pt 0.091 0.500 0.921
Pt2 Pt 0.250 0.000 0.424
Pb1 Pb 0.114 0.500 0.554
Pb2 Pb 0.250 0.500 0.157
# Fermi-level density of states in states/eV per cell: 11.734
# Calculated formation energy in kcal/mol of atoms: -19.2
# Total magnetic moment in μB per formula unit: 0.00
# Crystal system: orthorhombic

***

Entry 7:
# Sr2Cd5Ge3 | Alexandria via LeMat-Bulk | GGA-PBE | optimized geometry
data_Sr2Cd5Ge3
_symmetry_space_group_name_H-M 'P -4 m 2'
_symmetry_Int_Tables_number 115
_symmetry_space_group_name_Hall 'P -4 -2'
_cell_length_a 4.622
_cell_length_b 4.622
_cell_length_c 11.970
_cell_angle_alpha 90.00
_cell_angle_beta 90.00
_cell_angle_gamma 90.00
loop_
_atom_site_label
_atom_site_type_symbol
_atom_site_fract_x
_atom_site_fract_y
_atom_site_fract_z
Sr1 Sr 0.000 0.500 0.234
Cd1 Cd 0.000 0.000 0.500
Cd2 Cd 0.000 0.500 0.648
Cd3 Cd 0.500 0.500 0.000
Cd4 Cd 0.500 0.500 0.500
Ge1 Ge 0.000 0.000 0.000
Ge2 Ge 0.000 0.500 0.872
# Fermi-level density of states in states/eV per cell: 2.089
# Calculated formation energy in kcal/mol of atoms: -5.8
# Total magnetic moment in μB per formula unit: 0.00
# Crystal system: tetragonal

***

Entry 8:
# Pr2ThSe3 | Alexandria via LeMat-Bulk | GGA-PBE | optimized geometry
data_Pr2ThSe3
_symmetry_space_group_name_H-M 'P 63/m m c'
_symmetry_Int_Tables_number 194
_symmetry_space_group_name_Hall '-P 6c 2c'
_cell_length_a 4.1482
_cell_length_b 4.1482
_cell_length_c 21.8114
_cell_angle_alpha 90.00
_cell_angle_beta 90.00
_cell_angle_gamma 120.00
loop_
_atom_site_label
_atom_site_type_symbol
_atom_site_fract_x
_atom_site_fract_y
_atom_site_fract_z
Pr1 Pr 0.3333 0.6667 0.0830
Th1 Th 0.0000 0.0000 0.2500
Se1 Se 0.0000 0.0000 0.0000
Se2 Se 0.3333 0.6667 0.6664
# Fermi-level density of states in states/eV per cell: 8.019
# Formation energy from raw total energies in kJ/mol of atoms: -165.56
# Polymorph energy (0 for the lowest one) in meV/atom: 13
# Total magnetic moment in μB per formula unit: 0.00
# Crystal system: hexagonal